Computed, not measured: Mg2NiCl6 after structural relaxation at the PBE level of DFT.

Geometry as extended XYZ:
```
9
Lattice="6.9341 -1.8006 0.0000 6.9341 1.8006 0.0000 -3.6499 0.0000 8.7532" Properties=species:S:1:pos:R:3 pbc="T T T"
Mg 1.0798 0.0000 2.8898
Mg 9.1384 0.0000 5.8634
Ni 6.9341 0.0000 0.0000
Cl 1.5686 0.0000 0.4245
Cl 0.5256 0.0000 5.3571
Cl 3.8535 0.0000 6.3980
Cl 6.3647 0.0000 2.3552
Cl 9.6926 0.0000 3.3960
Cl 8.6496 0.0000 8.3287
```

Output
The volume is 24.286 Å³/atom. Its space group is C2/m, No. 12. The value obtained for the calculated total energy is -3.6534 eV per atom. The formation energy without anion corrections is -12.83 eV/f.u.